Record 1
Entry from the Alexandria database: a relaxed structure of La2Pm8Th3 (PBE-GGA). Values from VASP.

Cell and atoms, written as Quantum ESPRESSO input:
```
&SYSTEM
  ibrav = 0, nat = 13, ntyp = 3
/
ATOMIC_SPECIES
La 138.91 La.upf
Pm 145.00 Pm.upf
Th 232.04 Th.upf
CELL_PARAMETERS angstrom
5.1461 -5.4708 0.0000
5.1461 5.4708 0.0000
-3.4658 0.0000 8.0991
ATOMIC_POSITIONS crystal
La 0.2239 0.2239 0.0262
La 0.7761 0.7761 0.9738
Pm 0.0791 0.5981 0.3174
Pm 0.1002 0.1002 0.3554
Pm 0.4019 0.9209 0.6826
Pm 0.4089 0.4089 0.7848
Pm 0.5911 0.5911 0.2152
Pm 0.5981 0.0791 0.3174
Pm 0.8998 0.8998 0.6446
Pm 0.9209 0.4019 0.6826
Th 0.2358 0.7642 0.0000
Th 0.5000 0.5000 0.5000
Th 0.7642 0.2358 0.0000
```

Output
SG ... C2/m
DFT total energy ... -67.06 eV/cell

Record 2
Entry from the Alexandria database: a relaxed structure of Tc2SBrF (PBE-GGA). Values from VASP.

Cell and atoms, written as Quantum ESPRESSO input:
```
&SYSTEM
  ibrav = 0, nat = 5, ntyp = 4
/
ATOMIC_SPECIES
Tc 98.00 Tc.upf
S 32.06 S.upf
Br 79.90 Br.upf
F 19.00 F.upf
CELL_PARAMETERS angstrom
4.2753 0.0000 0.0000
0.0000 4.2753 0.0000
0.0000 0.0000 5.1956
ATOMIC_POSITIONS crystal
Tc 0.0000 0.5000 0.0000
Tc 0.5000 0.0000 0.0000
S 0.0000 0.0000 0.5000
Br 0.5000 0.5000 0.5000
F 0.5000 0.5000 0.0000
```

Output
Formation energy (no corrections) ... 1071 meV/atom
SG ... P4/mmm

Record 3
Entry from the Alexandria database: a relaxed structure of ScCuRe2 (PBE-GGA). Values from VASP.

Cell and atoms, written as Quantum ESPRESSO input:
```
&SYSTEM
  ibrav = 0, nat = 4, ntyp = 3
/
ATOMIC_SPECIES
Sc 44.96 Sc.upf
Cu 63.55 Cu.upf
Re 186.21 Re.upf
CELL_PARAMETERS angstrom
3.1126 0.0000 0.0000
0.0000 3.1126 0.0000
0.0000 0.0000 6.5517
ATOMIC_POSITIONS crystal
Sc 0.0000 0.0000 0.0000
Cu 0.5000 0.5000 0.2649
Re 0.0000 0.0000 0.4989
Re 0.5000 0.5000 0.7130
```

Output
Energy above the most stable polymorph in this dataset ... 0.000 eV per atom
SG ... P4mm

Record 4
Entry from the Alexandria database: a relaxed structure of Sr3ZrTc (PBE-GGA). Values from VASP.

Cell and atoms, written as Quantum ESPRESSO input:
```
&SYSTEM
  ibrav = 0, nat = 5, ntyp = 3
/
ATOMIC_SPECIES
Sr 87.62 Sr.upf
Zr 91.22 Zr.upf
Tc 98.00 Tc.upf
CELL_PARAMETERS angstrom
5.6544 0.0000 0.0000
0.0000 5.6544 0.0000
0.0000 0.0000 5.6544
ATOMIC_POSITIONS crystal
Sr 0.0000 0.0000 0.5000
Sr 0.0000 0.5000 0.0000
Sr 0.5000 0.0000 0.0000
Zr 0.5000 0.5000 0.5000
Tc 0.0000 0.0000 0.0000
```

Output
Energy above the most stable polymorph in this dataset ... 0.000 eV per atom
SG ... Pm-3m

Record 5
Entry from the Alexandria database: a relaxed structure of Ca2ThTl (PBE-GGA). Values from VASP.

Cell and atoms, written as Quantum ESPRESSO input:
```
&SYSTEM
  ibrav = 0, nat = 4, ntyp = 3
/
ATOMIC_SPECIES
Ca 40.08 Ca.upf
Th 232.04 Th.upf
Tl 204.38 Tl.upf
CELL_PARAMETERS angstrom
1.7871 1.0318 12.2022
-1.7871 1.0318 12.2022
0.0000 -2.0635 12.2022
ATOMIC_POSITIONS crystal
Ca 0.0964 0.0964 0.0964
Ca 0.9036 0.9036 0.9036
Th 0.0000 0.0000 0.0000
Tl 0.5000 0.5000 0.5000
```

Output
Energy above the most stable polymorph in this dataset ... 0.165 eV per atom
SG ... R-3m

Record 6
Entry from the Alexandria database: a relaxed structure of InTcHO2 (PBE-GGA). Values from VASP.

Cell and atoms, written as Quantum ESPRESSO input:
```
&SYSTEM
  ibrav = 0, nat = 5, ntyp = 4
/
ATOMIC_SPECIES
In 114.82 In.upf
Tc 98.00 Tc.upf
H 1.01 H.upf
O 16.00 O.upf
CELL_PARAMETERS angstrom
4.2367 0.0000 0.0000
0.0000 4.2367 0.0000
0.0000 0.0000 3.2824
ATOMIC_POSITIONS crystal
In 0.0000 0.0000 0.0000
Tc 0.5000 0.5000 0.0000
H 0.0000 0.0000 0.5000
O 0.0000 0.5000 0.5000
O 0.5000 0.0000 0.5000
```

Output
SG ... P4/mmm
DFT total energy ... -23.13 eV/cell

Record 7
Entry from the Alexandria database: a relaxed structure of LaAgNO2 (PBE-GGA). Values from VASP.

Cell and atoms, written as Quantum ESPRESSO input:
```
&SYSTEM
  ibrav = 0, nat = 5, ntyp = 4
/
ATOMIC_SPECIES
La 138.91 La.upf
Ag 107.87 Ag.upf
N 14.01 N.upf
O 16.00 O.upf
CELL_PARAMETERS angstrom
4.1274 0.0000 0.0000
0.0000 4.1274 0.0000
0.0000 0.0000 4.0436
ATOMIC_POSITIONS crystal
La 0.0000 0.0000 0.0000
Ag 0.5000 0.5000 0.5000
N 0.5000 0.5000 0.0000
O 0.0000 0.5000 0.5000
O 0.5000 0.0000 0.5000
```

Output
Formation energy (no corrections) ... -656 meV/atom
SG ... P4/mmm

Record 8
Entry from the Alexandria database: a relaxed structure of LiFeBr2 (PBE-GGA). Values from VASP.

Cell and atoms, written as Quantum ESPRESSO input:
```
&SYSTEM
  ibrav = 0, nat = 4, ntyp = 3
/
ATOMIC_SPECIES
Li 6.94 Li.upf
Fe 55.84 Fe.upf
Br 79.90 Br.upf
CELL_PARAMETERS angstrom
3.9440 0.0000 0.0000
0.0000 5.3614 0.0000
-1.0071 0.0000 4.0919
ATOMIC_POSITIONS crystal
Li 0.0000 0.0000 0.0000
Fe 0.6958 0.5000 0.3264
Br 0.0724 0.5000 0.9166
Br 0.6105 0.0000 0.4073
```

Output
Energy above the most stable polymorph in this dataset ... 0.056 eV per atom
Formation energy (no corrections) ... -470 meV/atom
SG ... Pm

Record 9
Entry from the Alexandria database: a relaxed structure of PuPaSnGe (PBE-GGA). Values from VASP.

Cell and atoms, written as Quantum ESPRESSO input:
```
&SYSTEM
  ibrav = 0, nat = 4, ntyp = 4
/
ATOMIC_SPECIES
Pu 244.00 Pu.upf
Pa 231.04 Pa.upf
Sn 118.71 Sn.upf
Ge 72.64 Ge.upf
CELL_PARAMETERS angstrom
3.3358 0.0000 0.0000
0.0000 3.3358 0.0000
0.0000 0.0000 8.5502
ATOMIC_POSITIONS crystal
Pu 0.0000 0.0000 0.0000
Pa 0.0000 0.0000 0.5468
Sn 0.5000 0.5000 0.2757
Ge 0.5000 0.5000 0.7734
```

Output
SG ... P4mm
DFT total energy ... -33.87 eV/cell

Record 10
Entry from the Alexandria database: a relaxed structure of Hf6CoNi5 (PBE-GGA). Values from VASP.

Cell and atoms, written as Quantum ESPRESSO input:
```
&SYSTEM
  ibrav = 0, nat = 12, ntyp = 3
/
ATOMIC_SPECIES
Hf 178.49 Hf.upf
Co 58.93 Co.upf
Ni 58.69 Ni.upf
CELL_PARAMETERS angstrom
7.0593 -3.2063 0.0000
7.0593 3.2063 0.0000
-1.3868 0.0000 4.2383
ATOMIC_POSITIONS crystal
Hf 0.0829 0.5853 0.3361
Hf 0.2477 0.7523 0.0000
Hf 0.4147 0.9171 0.6639
Hf 0.5853 0.0829 0.3361
Hf 0.7523 0.2477 0.0000
Hf 0.9171 0.4147 0.6639
Co 0.0000 0.0000 0.5000
Ni 0.1653 0.1653 0.1594
Ni 0.3362 0.3362 0.8423
Ni 0.5000 0.5000 0.5000
Ni 0.6638 0.6638 0.1577
Ni 0.8347 0.8347 0.8406
```

Output
SG ... C2/m
DFT total energy ... -100.84 eV/cell

Record 11
Entry from the Alexandria database: a relaxed structure of YCrPt2Br (PBE-GGA). Values from VASP.

Cell and atoms, written as Quantum ESPRESSO input:
```
&SYSTEM
  ibrav = 0, nat = 5, ntyp = 4
/
ATOMIC_SPECIES
Y 88.91 Y.upf
Cr 52.00 Cr.upf
Pt 195.08 Pt.upf
Br 79.90 Br.upf
CELL_PARAMETERS angstrom
4.5510 0.0000 0.0000
0.0000 4.5510 0.0000
0.0000 0.0000 5.6026
ATOMIC_POSITIONS crystal
Y 0.0000 0.0000 0.0000
Cr 0.0000 0.0000 0.5000
Pt 0.0000 0.5000 0.5000
Pt 0.5000 0.0000 0.5000
Br 0.5000 0.5000 0.0000
```

Output
Formation energy (no corrections) ... 252 meV/atom
SG ... P4/mmm

Number 1: total moment 0.000 μB/f.u., DOS(E_F) 20.5 states/eV/f.u.. Number 2: total moment 5.778 μB/f.u., DOS(E_F) 5.0 states/eV/f.u.. Number 3: total moment 0.000 μB/f.u., DOS(E_F) 1.4 states/eV/f.u.. Number 4: total moment 0.001 μB/f.u., DOS(E_F) 9.0 states/eV/f.u.. Number 5: total moment 0.000 μB/f.u., DOS(E_F) 4.0 states/eV/f.u.. Number 6: total moment 3.271 μB/f.u., DOS(E_F) 3.5 states/eV/f.u.. Number 7: total moment 0.000 μB/f.u., DOS(E_F) 3.6 states/eV/f.u.. Number 8: total moment 3.031 μB/f.u., DOS(E_F) 2.3 states/eV/f.u.. Number 9: total moment 5.712 μB/f.u., DOS(E_F) 9.9 states/eV/f.u.. Number 10: total moment 0.000 μB/f.u., DOS(E_F) 10.4 states/eV/f.u.. Number 11: total moment 0.002 μB/f.u., DOS(E_F) 4.8 states/eV/f.u..